(1)
A plane-wave DFT calculation with PBE was carried out for crystalline Ac2U3PtRh12 at its relaxed geometry.

Cell: 9.5250 9.5250 13.2489 Å, 90.00 90.00 120.00°
Space group R-3m (No. 166, hexagonal axes)
One atom of each set of equivalent atoms:
Ac 0.0000 0.0000 0.1361 x6
U 0.0000 0.5000 0.0000 x9
Pt 0.0000 0.0000 0.5000 x3
Rh 0.0060 0.5030 0.1809 x18
Rh 0.0097 0.5049 0.3923 x18

---

(2)
A plane-wave DFT calculation with PBE was carried out for crystalline Ac2UPtRh4 at its relaxed geometry.

Cell: 5.741 13.415 18.901 Å, 90.00 90.00 90.00°
Space group Fddd (No. 70, origin choice 2)
One atom of each set of equivalent atoms:
Ac 0.125 0.125 0.294 x16
U 0.125 0.125 0.625 x8
Pt 0.125 0.125 0.125 x8
Rh 0.105 0.015 0.437 x32

---

(3)
A plane-wave DFT calculation with PBE was carried out for crystalline AcYPtRh at its relaxed geometry.

Cell: 7.233 7.233 7.233 Å, 90.00 90.00 90.00°
Space group F-43m (No. 216)
One atom of each set of equivalent atoms:
Ac 0.000 0.000 0.000 x4
Y 0.000 0.000 0.500 x4
Pt 0.250 0.250 0.750 x4
Rh 0.250 0.250 0.250 x4

---

(4)
A plane-wave DFT calculation with PBE was carried out for crystalline Ac2Zn2Pt5Rh at its relaxed geometry.

Cell: 9.870 9.870 3.946 Å, 90.00 90.00 90.00°
Space group P4/mbm (No. 127)
One atom of each set of equivalent atoms:
Ac 0.185 0.315 0.000 x4
Zn 0.114 0.614 0.000 x4
Pt 0.000 0.500 0.500 x2
Pt 0.057 0.793 0.500 x8
Rh 0.000 0.000 0.000 x2

---

(5)
A plane-wave DFT calculation with PBE was carried out for crystalline Ac2ZnPt5Rh2 at its relaxed geometry.

Cell: 9.803 9.803 4.052 Å, 90.00 90.00 90.00°
Space group P4/mbm (No. 127)
One atom of each set of equivalent atoms:
Ac 0.174 0.326 0.000 x4
Zn 0.000 0.000 0.000 x2
Pt 0.000 0.500 0.500 x2
Pt 0.058 0.805 0.500 x8
Rh 0.128 0.628 0.000 x4

---

(6)
A plane-wave DFT calculation with PBE was carried out for crystalline Ac2Zn3Pt4Rh at its relaxed geometry.

Cell: 4.263 4.263 11.154 Å, 90.00 90.00 90.00°
Space group P-4m2 (No. 115)
One atom of each set of equivalent atoms:
Ac 0.000 0.500 0.246 x2
Zn 0.000 0.000 0.000 x1
Zn 0.000 0.500 0.627 x2
Pt 0.000 0.000 0.500 x1
Pt 0.000 0.500 0.852 x2
Pt 0.500 0.500 0.500 x1
Rh 0.500 0.500 0.000 x1

---

(7)
A plane-wave DFT calculation with PBE was carried out for crystalline AcZnPtRh at its relaxed geometry.

Cell: 6.911 6.911 6.911 Å, 90.00 90.00 90.00°
Space group F-43m (No. 216)
One atom of each set of equivalent atoms:
Ac 0.000 0.000 0.000 x4
Zn 0.000 0.000 0.500 x4
Pt 0.250 0.250 0.750 x4
Rh 0.250 0.250 0.250 x4

---

(8)
A plane-wave DFT calculation with PBE was carried out for crystalline Ac7Ru2Pt2 at its relaxed geometry.

Cell: 9.258 12.427 7.750 Å, 90.00 96.25 90.00°
Space group C2/m (No. 12)
One atom of each set of equivalent atoms:
Ac 0.000 0.000 0.000 x2
Ac 0.076 0.500 0.750 x4
Ac 0.245 0.196 0.732 x8
Ru 0.228 0.500 0.087 x4
Pt 0.000 0.310 0.500 x4

---

(9)
A plane-wave DFT calculation with PBE was carried out for crystalline Ac6Ru2Pt at its relaxed geometry.

Results
Excess energy over the best structure of this formula in the dataset, meV/atom: 107

Cell: 15.813 4.320 10.023 Å, 90.00 95.72 90.00°
Space group C2/m (No. 12)
One atom of each set of equivalent atoms:
Ac 0.056 0.000 0.299 x4
Ac 0.139 0.500 0.987 x4
Ac 0.214 0.000 0.655 x4
Ru 0.210 0.000 0.192 x4
Pt 0.000 0.000 0.000 x2

---

(10)
A plane-wave DFT calculation with PBE was carried out for crystalline Ac12RuPt6 at its relaxed geometry.

Cell: 13.5301 13.5301 12.8404 Å, 90.00 90.00 120.00°
Space group R-3 (No. 148, hexagonal axes)
One atom of each set of equivalent atoms:
Ac 0.0232 0.2137 0.3930 x18
Ac 0.0365 0.1990 0.8810 x18
Ru 0.0000 0.0000 0.0000 x3
Pt 0.0407 0.2627 0.6450 x18

---

(11)
A plane-wave DFT calculation with PBE was carried out for crystalline Ac14Ru3Pt6 at its relaxed geometry.

Cell: 10.6928 10.6928 7.4999 Å, 90.00 90.00 120.00°
Space group P3m1 (No. 156)
One atom of each set of equivalent atoms:
Ac 0.0000 0.0000 0.0000 x1
Ac 0.0806 0.5403 0.2808 x3
Ac 0.2024 0.4048 0.7614 x3
Ac 0.2492 0.1246 0.4216 x3
Ac 0.4186 0.2093 0.9281 x3
Ac 0.6667 0.3333 0.5090 x1
Ru 0.0000 0.0000 0.6349 x1
Ru 0.3333 0.6667 0.5304 x1
Ru 0.6667 0.3333 0.1391 x1
Pt 0.1469 0.2937 0.1629 x3
Pt 0.5192 0.0383 0.6708 x3

---

(12)
A plane-wave DFT calculation with PBE was carried out for crystalline Ac16Ru5Pt3 at its relaxed geometry.

Cell: 15.034 8.645 13.911 Å, 90.00 90.16 90.00°
Space group Cm (No. 8)
One atom of each set of equivalent atoms:
Ac 0.000 0.000 0.000 x2
Ac 0.001 0.000 0.499 x2
Ac 0.019 0.500 0.483 x2
Ac 0.083 0.253 0.233 x4
Ac 0.171 0.000 0.741 x2
Ac 0.180 0.500 0.729 x2
Ac 0.252 0.270 0.482 x4
Ac 0.265 0.235 0.986 x4
Ac 0.338 0.500 0.229 x2
Ac 0.344 0.000 0.226 x2
Ac 0.417 0.253 0.733 x4
Ac 0.494 0.000 0.986 x2
Ru 0.167 0.500 0.346 x2
Ru 0.335 0.000 0.842 x2
Ru 0.340 0.500 0.611 x2
Ru 0.423 0.250 0.112 x4
Pt 0.090 0.249 0.615 x4
Pt 0.172 0.000 0.114 x2

---

(13)
A plane-wave DFT calculation with PBE was carried out for crystalline Ac12Ru3Pt5 at its relaxed geometry.

Cell: 13.0315 13.0315 4.3727 Å, 90.00 90.00 120.00°
Space group P-62m (No. 189)
One atom of each set of equivalent atoms:
Ac 0.0000 0.1745 0.0000 x3
Ac 0.0000 0.4720 0.0000 x3
Ac 0.1954 0.7447 0.5000 x6
Ru 0.0000 0.3293 0.5000 x3
Pt 0.0000 0.7133 0.0000 x3
Pt 0.3333 0.6667 0.0000 x2

---

(14)
A plane-wave DFT calculation with PBE was carried out for crystalline Ac8Ru2Pt at its relaxed geometry.

Cell: 14.425 8.686 7.237 Å, 90.00 106.84 90.00°
Space group C2/m (No. 12)
One atom of each set of equivalent atoms:
Ac 0.114 0.000 0.248 x4
Ac 0.131 0.500 0.250 x4
Ac 0.136 0.263 0.765 x8
Ru 0.234 0.000 0.999 x4
Pt 0.000 0.500 0.500 x2

---

(15)
A plane-wave DFT calculation with PBE was carried out for crystalline Ac6Ru2Pt at its relaxed geometry.

Results
Excess energy over the best structure of this formula in the dataset, meV/atom: 0

Cell: 18.334 4.384 8.370 Å, 90.00 98.64 90.00°
Space group C2/m (No. 12)
One atom of each set of equivalent atoms:
Ac 0.007 0.000 0.252 x4
Ac 0.168 0.500 0.098 x4
Ac 0.170 0.500 0.573 x4
Ru 0.165 0.000 0.329 x4
Pt 0.000 0.500 0.000 x2

---

(16)
A plane-wave DFT calculation with PBE was carried out for crystalline Ac4Ru2Pt at its relaxed geometry.

Cell: 12.944 8.888 10.049 Å, 90.00 129.90 90.00°
Space group C2 (No. 5)
One atom of each set of equivalent atoms:
Ac 0.047 0.000 0.341 x4
Ac 0.050 0.492 0.337 x4
Ac 0.206 0.253 0.170 x4
Ac 0.214 0.743 0.178 x4
Ru 0.000 0.237 0.500 x2
Ru 0.000 0.493 0.000 x2
Ru 0.239 0.242 0.492 x4
Pt 0.246 0.498 0.997 x4

---

(17)
A plane-wave DFT calculation with PBE was carried out for crystalline Ac7RuPt5 at its relaxed geometry.

Cell: 4.298 25.818 7.584 Å, 90.00 106.41 90.00°
Space group P2_1/m (No. 11)
One atom of each set of equivalent atoms:
Ac 0.067 0.250 0.131 x2
Ac 0.136 0.538 0.271 x4
Ac 0.311 0.178 0.622 x4
Ac 0.411 0.610 0.822 x4
Ru 0.292 0.750 0.583 x2
Pt 0.046 0.648 0.092 x4
Pt 0.224 0.072 0.449 x4
Pt 0.500 0.000 0.000 x2

---

(18)
A plane-wave DFT calculation with PBE was carried out for crystalline Ac12Ru2Pt5 at its relaxed geometry.

Cell: 15.948 8.470 10.547 Å, 90.00 106.35 90.00°
Space group C2/m (No. 12)
One atom of each set of equivalent atoms:
Ac 0.037 0.000 0.332 x4
Ac 0.059 0.500 0.332 x4
Ac 0.132 0.251 0.017 x8
Ac 0.183 0.243 0.648 x8
Ru 0.000 0.258 0.500 x4
Pt 0.000 0.500 0.000 x2
Pt 0.215 0.000 0.885 x4
Pt 0.240 0.000 0.481 x4

---

DFT total energy, record by record: -7.858, -7.436, -6.828, -5.442, -6.046, -5.083, -5.131, -5.712, -5.776, -5.750, -5.955, -5.858, -6.030, -5.526, -5.882, -6.267, -6.166, -5.805 eV/atom
Calculated volume, record by record: 19.28, 22.75, 23.65, 19.22, 19.47, 20.27, 20.63, 40.29, 37.85, 35.71, 32.29, 37.67, 32.15, 39.45, 36.95, 31.68, 31.05, 35.98 A^3/atom
Formation enthalpy at 0 K, record by record: -0.283, -0.567, -0.837, -0.610, -0.607, -0.728, -0.438, -0.313, -0.304, -0.759, -0.668, -0.431, -0.663, -0.302, -0.411, -0.406, -0.917, -0.644 eV/atom